Material: Sc2FeGeCl
Method: DFT, PBE
State: optimized geometry

Unit cell a=4.7791 b=4.0925 c=4.7791 alpha=90.00 beta=90.00 gamma=90.00
Each line ends with the local moment (μB).
Element x y z (fractional)
Sc 0.0000 0.0000 0.5000  -0.12
Sc 0.5000 0.0000 0.0000  -0.10
Ge 0.5000 0.5000 0.5000  0.04
Fe 0.0000 0.5000 0.0000  1.84
Cl 0.0000 0.0000 0.0000  0.02

- ρ: 4.51 g cm⁻³
- ΔE_f (raw): -0.17 eV/atom
- Fermi-level density of states: 0.8735 states/eV per atom

=====

Material: Dy3Si2Pt9Au
Method: DFT, PBE
State: optimized geometry

Unit cell a=5.6125 b=5.6125 c=11.2145 alpha=90.00 beta=90.00 gamma=120.00
Element x y z (fractional)
Dy 0.3333 0.6667 0.5906
Dy 0.0000 0.0000 0.0000
Dy 0.6667 0.3333 0.4094
Si 0.3333 0.6667 0.1591
Si 0.6667 0.3333 0.8409
Pt 0.8367 0.1633 0.6935
Pt 0.8367 0.6734 0.6935
Pt 0.3266 0.1633 0.6935
Pt 0.6734 0.8367 0.3065
Pt 0.1633 0.3266 0.3065
Pt 0.1633 0.8367 0.3065
Pt 0.5000 0.0000 0.0000
Pt 0.0000 0.5000 0.0000
Pt 0.5000 0.5000 0.0000
Au 0.0000 0.0000 0.5000

- ρ: 13.55 g cm⁻³
- ΔE_f (raw): -0.78 eV/atom
- Fermi-level density of states: 0.2674 states/eV per atom

=====

Material: CsBiBr4
Method: DFT, PBE
State: optimized geometry

Unit cell a=5.7865 b=8.2041 c=11.3959 alpha=90.00 beta=104.71 gamma=90.00
Element x y z (fractional)
Cs 0.3936 0.7500 0.7871
Cs 0.6064 0.2500 0.2129
Bi 0.1010 0.7500 0.2021
Bi 0.8990 0.2500 0.7979
Br 0.1827 0.5010 0.3655
Br 0.8173 0.4990 0.6345
Br 0.1827 0.9990 0.3655
Br 0.8173 0.0010 0.6345
Br 0.5828 0.7500 0.1655
Br 0.4172 0.2500 0.8345
Br 0.0000 0.5000 0.0000
Br 0.0000 0.0000 0.0000

- ρ: 4.20 g cm⁻³
- ΔE_f (raw): -1.11 eV/atom
- Fermi-level density of states: 0.0000 states/eV per atom

=====

Material: MnNb2TcH
Method: DFT, PBE
State: optimized geometry

Unit cell a=4.3404 b=4.3404 c=3.5210 alpha=90.00 beta=90.00 gamma=90.00
Each line ends with the local moment (μB).
Element x y z (fractional)
H 0.0000 0.0000 0.0000  0.00
Nb 0.0000 0.5000 0.0000  -0.32
Nb 0.5000 0.0000 0.0000  -0.32
Mn 0.5000 0.5000 0.5000  2.07
Tc 0.0000 0.0000 0.5000  0.09

- ρ: 8.51 g cm⁻³
- Fermi-level density of states: 0.8243 states/eV per atom

=====

Material: ScIn2BiAs
Method: DFT, PBE
State: optimized geometry

Unit cell a=5.6956 b=5.5665 c=5.6956 alpha=90.00 beta=90.00 gamma=90.00
Element x y z (fractional)
Sc 0.0000 0.5000 0.0000
As 0.5000 0.5000 0.5000
Bi 0.0000 0.0000 0.0000
In 0.0000 0.0000 0.5000
In 0.5000 0.0000 0.0000

- ρ: 5.14 g cm⁻³
- Energy of formation: 661 meV per atom
- Fermi-level density of states: 0.8631 states/eV per atom

=====

Material: UCrTe4
Method: DFT, PBE
State: optimized geometry

Unit cell a=7.1555 b=6.8739 c=8.4802 alpha=107.62 beta=108.87 gamma=104.06
Each line ends with the local moment (μB).
Element x y z (fractional)
U 0.3681 0.6181 0.2361  1.81
U 0.6319 0.3819 0.7639  1.81
Cr 0.0758 0.8258 0.6516  2.87
Cr 0.9242 0.1742 0.3484  2.87
Te 0.9172 0.2896 0.0709  -0.17
Te 0.6538 0.7813 0.0709  -0.17
Te 0.2861 0.5518 0.5732  -0.16
Te 0.7139 0.4482 0.4268  -0.16
Te 0.2129 0.9786 0.4268  -0.16
Te 0.3462 0.2187 0.9291  -0.17
Te 0.7871 0.0214 0.5732  -0.16
Te 0.0828 0.7104 0.9291  -0.17

- ρ: 7.63 g cm⁻³
- ΔE_f (raw): -0.33 eV/atom
- Fermi-level density of states: 1.1499 states/eV per atom

=====

Material: Ca4Tc
Method: DFT, PBE
State: optimized geometry

Unit cell a=6.1051 b=6.1051 c=6.1051 alpha=109.47 beta=109.47 gamma=109.47
Each line ends with the local moment (μB).
Element x y z (fractional)
Ca 0.0000 0.5000 0.0000  -0.01
Ca 0.0000 0.0000 0.5000  -0.01
Ca 0.5000 0.5000 0.5000  -0.01
Ca 0.5000 0.0000 0.0000  -0.01
Tc 0.0000 0.0000 0.0000  0.54

- ρ: 2.45 g cm⁻³
- Energy of formation: 520 meV per atom
- Fermi-level density of states: 1.2375 states/eV per atom

=====

Material: Sc2SI
Method: DFT, PBE
State: optimized geometry

Unit cell a=3.8681 b=3.8681 c=7.2743 alpha=74.58 beta=74.58 gamma=60.00
Element x y z (fractional)
Sc 0.0584 0.0584 0.8247
Sc 0.2768 0.2768 0.1697
S 0.6682 0.6682 0.9954
I 0.4966 0.4966 0.5103

- ρ: 4.61 g cm⁻³
- ΔE_f (raw): -1.24 eV/atom
- Fermi-level density of states: 0.7748 states/eV per atom

=====

Material: CdHgBr
Method: DFT, PBE
State: optimized geometry

Unit cell a=7.1119 b=6.7460 c=3.7973 alpha=79.49 beta=68.85 gamma=31.67
Element x y z (fractional)
Hg 0.3177 0.3177 0.6823
Br 0.0180 0.0180 0.9820
Cd 0.6643 0.6643 0.3357

- ρ: 7.56 g cm⁻³
- ΔE_f (raw): -0.21 eV/atom
- Fermi-level density of states: 0.2311 states/eV per atom

=====

Material: Pm5Pd4
Method: DFT, PBE
State: optimized geometry

Unit cell a=3.9044 b=5.8346 c=11.2760 alpha=76.11 beta=80.03 gamma=70.45
Element x y z (fractional)
Pm 0.1056 0.1842 0.6046
Pm 0.8944 0.8158 0.3954
Pm 0.7732 0.6415 0.8121
Pm 0.2268 0.3585 0.1879
Pm 0.0000 0.0000 0.0000
Pd 0.4878 0.2113 0.8131
Pd 0.5122 0.7887 0.1869
Pd 0.3821 0.6308 0.6050
Pd 0.6179 0.3692 0.3950

- ρ: 8.17 g cm⁻³
- Energy of formation: -701 meV per atom
- Fermi-level density of states: 0.8060 states/eV per atom

=====

Material: Ac3Ge2Cl2
Method: DFT, PBE
State: optimized geometry

Unit cell a=4.5084 b=8.2932 c=7.8469 alpha=108.61 beta=106.69 gamma=90.00
Element x y z (fractional)
Ac 0.0000 0.0000 0.0000
Ac 0.7815 0.2474 0.5630
Ac 0.2185 0.7526 0.4370
Ge 0.6194 0.8949 0.2387
Ge 0.3806 0.1051 0.7613
Cl 0.8374 0.6490 0.6747
Cl 0.1626 0.3510 0.3253

- ρ: 5.62 g cm⁻³
- ΔE_f (raw): -1.18 eV/atom
- Fermi-level density of states: 0.9231 states/eV per atom

=====

Material: Pr3Si2I2
Method: DFT, PBE
State: optimized geometry

Unit cell a=4.2590 b=7.4635 c=8.2209 alpha=99.13 beta=89.90 gamma=106.33
Element x y z (fractional)
Pr 0.0000 0.0000 0.0000
Pr 0.7595 0.5161 0.2233
Pr 0.2405 0.4839 0.7767
Si 0.6260 0.2546 0.9058
Si 0.3740 0.7454 0.0942
I 0.8762 0.7565 0.6168
I 0.1238 0.2435 0.3832

- ρ: 4.92 g cm⁻³
- ΔE_f (raw): -0.75 eV/atom
- Fermi-level density of states: 0.7368 states/eV per atom

=====

| no. | raw total energy (eV per formula unit) |
| --- | --- |
| 1 | -28.42 |
| 2 | -93.99 |
| 3 | -18.07 |
| 4 | -43.01 |
| 5 | -17.03 |
| 6 | -35.48 |
| 7 | -15.77 |
| 8 | -23.30 |
| 9 | -3.53 |
| 10 | -50.83 |
| 11 | -33.53 |
| 12 | -33.52 |